# CaSiO3

A geometry-optimized CaSiO3 structure (PBE, Alexandria).

Properties
The calculation puts the magnetization at 0.00 μB/cell. Its formation energy without anion corrections is -292.3 kJ/mol of atoms.

a b c (Å): 7.3915 7.1505 15.6032
angles (deg): 84.25 90.00 90.00
Closest atoms and distances in Å follow each position.
Sites, in units of the cell vectors:
O: 0.1236 0.7686 0.0091  1 Si 1.60
O: 0.4440 0.5929 0.3654  2 Si 1.67-1.68
O: 0.1230 0.2980 0.2844  1 Si 1.62
O: 0.9440 0.4071 0.1346  2 Si 1.67-1.68
O: 0.6230 0.7020 0.2156  1 Si 1.62
O: 0.6247 0.3313 0.3004  1 Si 1.62
O: 0.3035 0.4062 0.1348  2 Si 1.67-1.69
O: 0.1269 0.2380 0.4898  1 Si 1.61
O: 0.6127 0.0345 0.6520  1 Si 1.63
O: 0.1965 0.4062 0.6348  2 Si 1.67-1.69
O: 0.6269 0.7620 0.0102  1 Si 1.61
O: 0.3602 0.0341 0.1503  1 Si 1.63
O: 0.3753 0.6687 0.6996  1 Si 1.62
O: 0.8753 0.3313 0.8004  1 Si 1.62
O: 0.8760 0.2712 0.6107  2 Si 1.66
O: 0.8873 0.0345 0.1520  1 Si 1.63
O: 0.8602 0.9659 0.3497  1 Si 1.63
O: 0.5560 0.4071 0.6346  2 Si 1.67-1.68
O: 0.8764 0.2314 0.9909  1 Si 1.60
O: 0.6965 0.5938 0.8652  2 Si 1.67-1.69
O: 0.3770 0.2980 0.7844  1 Si 1.62
O: 0.8731 0.7620 0.5102  1 Si 1.61
O: 0.8035 0.5938 0.3652  2 Si 1.67-1.69
O: 0.1127 0.9655 0.8480  1 Si 1.63
O: 0.3731 0.2380 0.9898  1 Si 1.61
O: 0.3873 0.9655 0.3480  1 Si 1.63
O: 0.6236 0.2314 0.4909  1 Si 1.60
O: 0.3760 0.7288 0.8893  2 Si 1.66
O: 0.6398 0.9659 0.8497  1 Si 1.63
O: 0.1398 0.0341 0.6503  1 Si 1.63
O: 0.0560 0.5929 0.8654  2 Si 1.67-1.68
O: 0.1247 0.6687 0.1996  1 Si 1.62
O: 0.8770 0.7020 0.7156  1 Si 1.62
O: 0.1240 0.7288 0.3893  2 Si 1.66
O: 0.3764 0.7686 0.5091  1 Si 1.60
O: 0.6240 0.2712 0.1107  2 Si 1.66
Si: 0.8765 0.5580 0.8026  4 O 1.62-1.69
Si: 0.5925 0.7697 0.9080  4 O 1.61-1.67
Si: 0.8410 0.2296 0.0923  4 O 1.60-1.67
Si: 0.3765 0.4420 0.6974  4 O 1.62-1.69
Si: 0.1235 0.4420 0.1974  4 O 1.62-1.69
Si: 0.4075 0.2303 0.0920  4 O 1.61-1.67
Si: 0.0925 0.2303 0.5920  4 O 1.61-1.67
Si: 0.3410 0.7704 0.4077  4 O 1.60-1.67
Si: 0.9075 0.7697 0.4080  4 O 1.61-1.67
Si: 0.6590 0.2296 0.5923  4 O 1.60-1.67
Si: 0.6235 0.5580 0.3026  4 O 1.62-1.69
Si: 0.1590 0.7704 0.9077  4 O 1.60-1.67
Ca: 0.8738 0.7401 0.0990  5 O 2.29-2.45
Ca: 0.8758 0.0299 0.7480  7 O 2.36-2.61
Ca: 0.1262 0.2599 0.9010  5 O 2.29-2.45
Ca: 0.3758 0.9701 0.7520  7 O 2.36-2.61
Ca: 0.6262 0.7401 0.5990  5 O 2.29-2.45
Ca: 0.1214 0.7368 0.6025  6 O 2.33-2.52
Ca: 0.3786 0.7368 0.1025  6 O 2.33-2.52
Ca: 0.1242 0.9701 0.2520  7 O 2.36-2.61
Ca: 0.8786 0.2632 0.3975  6 O 2.33-2.52
Ca: 0.6214 0.2632 0.8975  6 O 2.33-2.52
Ca: 0.3738 0.2599 0.4010  5 O 2.29-2.45
Ca: 0.6242 0.0299 0.2480  7 O 2.36-2.61